Record 1
The following is a DFT calculation (PBE) of KFeC2 after structural relaxation.

Properties
E above lowest polymorph in meV per atom: 1978
M_tot in μB/f.u.: 2.513
Density of states at the Fermi level in states/eV per cell: 11.9

Cell lengths 5.8732, 5.8732, 5.8732 Å; angles 90.00, 90.00, 90.00 degrees
Space group Fm-3m (No. 225)
Symmetry-distinct sites (fractional):
K 0.0000 0.0000 0.0000 [4 per cell]
Fe 0.0000 0.0000 0.5000 [4 per cell]
C 0.2500 0.2500 0.2500 [8 per cell]

=====

Record 2
The following is a DFT calculation (PBE) of KFeC2 after structural relaxation.

Properties
E above lowest polymorph in meV per atom: 0
M_tot in μB/f.u.: 0.000
Density of states at the Fermi level in states/eV per cell: 2.8

Cell lengths 5.6984, 5.6984, 8.0779 Å; angles 90.00, 90.00, 90.00 degrees
Space group I4_1/amd (No. 141, origin choice 2)
Symmetry-distinct sites (fractional):
K 0.0000 0.2500 0.3750 [4 per cell]
Fe 0.0000 0.2500 0.8750 [4 per cell]
C 0.0000 0.0000 0.0000 [8 per cell]

=====

Record 3
The following is a DFT calculation (PBE) of KNa2FeC after structural relaxation.

Properties
M_tot in μB/f.u.: 5.027
Density of states at the Fermi level in states/eV per cell: 17.8

Cell lengths 5.4487, 5.4487, 6.3107 Å; angles 90.00, 90.00, 90.00 degrees
Space group P4/mmm (No. 123)
Symmetry-distinct sites (fractional):
K 0.0000 0.0000 0.0000 [1 per cell]
Na 0.0000 0.5000 0.5000 [2 per cell]
Fe 0.0000 0.0000 0.5000 [1 per cell]
C 0.5000 0.5000 0.0000 [1 per cell]

=====

no.,energy of formation (eV per formula unit)
1,10.208
2,2.294
3,9.680